{"formula": "TmHgB2O6", "functional": "PBE", "state": "optimized geometry", "lattice_angstrom": [[3.814, -5.183, 0.000], [3.814, 5.183, 0.000], [-2.026, 0.000, 6.260]], "species": ["Tm", "Tm", "Hg", "Hg", "B", "B", "B", "B", "O", "O", "O", "O", "O", "O", "O", "O", "O", "O", "O", "O"], "frac_coords": [[0.074, 0.926, 0.750], [0.926, 0.074, 0.250], [0.399, 0.601, 0.250], [0.601, 0.399, 0.750], [0.086, 0.404, 0.757], [0.404, 0.086, 0.257], [0.596, 0.914, 0.743], [0.914, 0.596, 0.243], [0.006, 0.205, 0.601], [0.009, 0.432, 0.235], [0.205, 0.006, 0.101], [0.276, 0.420, 0.908], [0.420, 0.276, 0.408], [0.432, 0.009, 0.735], [0.568, 0.991, 0.265], [0.580, 0.724, 0.592], [0.724, 0.580, 0.092], [0.795, 0.994, 0.899], [0.991, 0.568, 0.765], [0.994, 0.795, 0.399]], "raw_formation_energy_mev_per_atom": -2123, "dft_energy_ev_per_atom": -6.911, "mass_density_g_cm3": 6.537, "space_group": "C2/c (15)", "magmom_total_mub_per_atom": 0.000}